First-principles (PBE) data for a geometry-optimized SnHgAs2 structure, as listed in the Alexandria database.

Unit cell a=5.053 b=5.053 c=5.053 alpha=60.00 beta=60.00 gamma=60.00
Element x y z (fractional)
Hg 0.500 0.500 0.500
Sn 0.000 0.000 0.000
As 0.250 0.250 0.250
As 0.750 0.750 0.750

Values from the calculation:
Energy of formation (eV/atom): 0.312
Space-group type: Fm-3m, No. 225